Compound: Mn2Tl3F7
Source: Alexandria via LeMat-Bulk
Functional: PBE+U
Structure: relaxed

DOS(E_F): 0.00 states/eV/cell
E above lowest polymorph: 18 meV/atom

Cell: 4.3047 23.1791 4.2394 Å, 90.00 90.00 90.00°
Space group Cmmm (No. 65)
Inequivalent atoms, fractional coordinates:
Mn 0.0000 0.0944 0.0000 [4 per cell]
Tl 0.0000 0.3156 0.5000 [4 per cell]
Tl 0.0000 0.5000 0.5000 [2 per cell]
F 0.0000 0.0000 0.0000 [2 per cell]
F 0.0000 0.0939 0.5000 [4 per cell]
F 0.0000 0.1851 0.0000 [4 per cell]
F 0.0000 0.4059 0.0000 [4 per cell]